A plane-wave DFT calculation with PBE-GGA was carried out for an optimized crystal structure of YLuZnPt.

Lattice parameters (Å, degrees): 4.9403 4.9403 4.9403 60.00 60.00 60.00
Fractional positions:
Y  0.0000  0.0000  0.0000
Lu  0.5000  0.5000  0.5000
Zn  0.7500  0.7500  0.7500
Pt  0.2500  0.2500  0.2500

Results
M_tot: 0.00 μB per cell
Total energy: -5.39 eV per atom
Space group: F-43m (216)

A plane-wave DFT calculation with PBE-GGA was carried out for an optimized crystal structure of Lu2ZnPt.

Lattice parameters (Å, degrees): 4.8806 4.8806 4.8806 60.00 60.00 60.00
Fractional positions:
Lu  0.2500  0.2500  0.2500
Lu  0.7500  0.7500  0.7500
Zn  0.0000  0.0000  0.0000
Pt  0.5000  0.5000  0.5000

Results
M_tot: 0.00 μB per cell
Offset from the most stable computed form: 0.005 eV/atom
Total energy: -4.95 eV per atom
Space group: Fm-3m (225)

A plane-wave DFT calculation with PBE-GGA was carried out for an optimized crystal structure of Lu2ZnPt.

Lattice parameters (Å, degrees): 3.4760 3.4760 6.8076 90.00 90.00 90.00
Fractional positions:
Lu  0.0000  0.0000  0.2429
Lu  0.0000  0.0000  0.7571
Zn  0.5000  0.5000  0.5000
Pt  0.5000  0.5000  0.0000

Results
M_tot: 0.00 μB per cell
Offset from the most stable computed form: 0.000 eV/atom
Total energy: -4.95 eV per atom
Space group: P4/mmm (123)

A plane-wave DFT calculation with PBE-GGA was carried out for an optimized crystal structure of LuZn2Pt.

Lattice parameters (Å, degrees): 3.9569 3.9569 4.5540 90.00 90.00 90.00
Fractional positions:
Lu  0.0000  0.0000  0.0000
Zn  0.0000  0.5000  0.5000
Zn  0.5000  0.0000  0.5000
Pt  0.5000  0.5000  0.0000

Results
M_tot: 0.00 μB per cell
Total energy: -3.85 eV per atom
Space group: P4/mmm (123)

A plane-wave DFT calculation with PBE-GGA was carried out for an optimized crystal structure of LuZrPt2.

Lattice parameters (Å, degrees): 3.3712 3.3712 6.9142 90.00 90.00 90.00
Fractional positions:
Lu  0.0000  0.0000  0.0000
Zr  0.0000  0.0000  0.5000
Pt  0.5000  0.5000  0.2663
Pt  0.5000  0.5000  0.7337

Results
M_tot: 0.00 μB per cell
Total energy: -7.39 eV per atom
Space group: P4/mmm (123)

A plane-wave DFT calculation with PBE-GGA was carried out for an optimized crystal structure of LuZrPt2.

Lattice parameters (Å, degrees): 4.9075 4.9075 3.2240 90.00 90.00 90.00
Fractional positions:
Lu  0.0000  0.0000  0.0000
Zr  0.5000  0.5000  0.0000
Pt  0.0000  0.5000  0.5000
Pt  0.5000  0.0000  0.5000

Results
M_tot: 0.00 μB per cell
Total energy: -7.39 eV per atom
Space group: P4/mmm (123)

A plane-wave DFT calculation with PBE-GGA was carried out for an optimized crystal structure of Lu3Pu.

Lattice parameters (Å, degrees): 3.4138 5.5545 6.0404 90.00 90.00 90.00
Fractional positions:
Lu  0.0000  0.0000  0.0000
Lu  0.0000  0.5000  0.3269
Lu  0.5000  0.0000  0.5046
Pu  0.5000  0.5000  0.8276

Results
M_tot: 6.69 μB per cell
Offset from the most stable computed form: 0.020 eV/atom
Total energy: -6.90 eV per atom
Space group: Pmm2 (25)

A plane-wave DFT calculation with PBE-GGA was carried out for an optimized crystal structure of LuPu3.

Lattice parameters (Å, degrees): 5.6925 5.6925 5.6925 132.12 132.12 70.03
Fractional positions:
Lu  0.0000  0.0000  0.0000
Pu  0.2500  0.7500  0.5000
Pu  0.5000  0.5000  0.0000
Pu  0.7500  0.2500  0.5000

Results
M_tot: 5.40 μB per cell
Offset from the most stable computed form: 0.000 eV/atom
Total energy: -11.67 eV per atom
Space group: I4/mmm (139)

A plane-wave DFT calculation with PBE-GGA was carried out for an optimized crystal structure of LuPu3.

Lattice parameters (Å, degrees): 6.3202 6.3202 6.3202 150.13 61.53 127.56
Fractional positions:
Lu  0.0000  0.0000  0.0000
Pu  0.3156  0.5372  0.7784
Pu  0.4929  0.9929  0.5000
Pu  0.7589  0.5372  0.2216

Results
M_tot: 5.61 μB per cell
Offset from the most stable computed form: 0.002 eV/atom
Total energy: -11.67 eV per atom
Space group: Imm2 (44)

A plane-wave DFT calculation with PBE-GGA was carried out for an optimized crystal structure of Lu3Pu.

Lattice parameters (Å, degrees): 6.5477 6.5477 6.5477 149.69 63.92 125.19
Fractional positions:
Lu  0.0000  0.0000  0.0000
Lu  0.0854  0.3339  0.7515
Lu  0.5824  0.3339  0.2485
Pu  0.5046  0.0046  0.5000

Results
M_tot: 6.71 μB per cell
Offset from the most stable computed form: 0.000 eV/atom
Total energy: -6.92 eV per atom
Space group: Imm2 (44)

A plane-wave DFT calculation with PBE-GGA was carried out for an optimized crystal structure of LuPu3.

Lattice parameters (Å, degrees): 3.7444 5.0167 5.2223 90.00 90.00 90.00
Fractional positions:
Lu  0.0000  0.0000  0.0000
Pu  0.0000  0.5000  0.4881
Pu  0.5000  0.0000  0.4862
Pu  0.5000  0.5000  0.8061

Results
M_tot: 5.24 μB per cell
Offset from the most stable computed form: 0.037 eV/atom
Total energy: -11.63 eV per atom
Space group: Pmm2 (25)

A plane-wave DFT calculation with PBE-GGA was carried out for an optimized crystal structure of Lu3Pu.

Lattice parameters (Å, degrees): 5.9270 5.9270 5.9270 131.54 131.54 70.96
Fractional positions:
Lu  0.0000  0.0000  0.0000
Lu  0.2500  0.7500  0.5000
Lu  0.7500  0.2500  0.5000
Pu  0.5000  0.5000  0.0000

Results
M_tot: 7.02 μB per cell
Offset from the most stable computed form: 0.051 eV/atom
Total energy: -6.86 eV per atom
Space group: I4/mmm (139)